Below is Dy4CdAg2 after structural relaxation, with properties calculated at the GGA-PBE level.

Cell: 4.998 4.998 9.728 Å, 75.12 75.12 60.00°
Fractional coordinates of all 7 atoms:
Dy 0.620 0.620 0.139
Dy 0.380 0.380 0.861
Dy 0.794 0.794 0.618
Dy 0.206 0.206 0.382
Ag 0.900 0.900 0.299
Ag 0.100 0.100 0.701
Cd 0.000 0.000 0.000

Results
Calculated formation energy: -17.7 meV/atom
M_tot: 0.00 μB per cell
E above lowest polymorph: 0.143 eV/atom
Total DFT energy (no corrections): -25.15 eV/cell

***

Below is DyCd5Ag after structural relaxation, with properties calculated at the GGA-PBE level.

Cell: 4.814 4.814 7.192 Å, 90.00 90.00 90.00°
Fractional coordinates of all 7 atoms:
Cd 0.000 0.500 0.286
Cd 0.500 0.000 0.714
Cd 0.500 0.000 0.286
Cd 0.000 0.500 0.714
Cd 0.500 0.500 0.000
Ag 0.000 0.000 0.500
Dy 0.000 0.000 0.000

Results
Calculated formation energy: -167.5 meV/atom
M_tot: 0.00 μB per cell
Total DFT energy (no corrections): -13.20 eV/cell

***

Below is Dy3Cd4Ag4 after structural relaxation, with properties calculated at the GGA-PBE level.

Cell: 3.383 4.801 15.621 Å, 81.19 83.76 90.10°
Fractional coordinates of all 11 atoms:
Cd 0.592 0.093 0.815
Cd 0.408 0.907 0.185
Cd 0.265 0.265 0.470
Cd 0.735 0.735 0.530
Ag 0.683 0.184 0.633
Ag 0.317 0.816 0.367
Ag 0.454 0.454 0.091
Ag 0.545 0.546 0.909
Dy 0.000 0.000 0.000
Dy 0.139 0.640 0.721
Dy 0.861 0.360 0.279

Results
Calculated formation energy: -240.8 meV/atom
M_tot: 0.00 μB per cell
Total DFT energy (no corrections): -31.52 eV/cell

***

Below is DyCd9Ag2 after structural relaxation, with properties calculated at the GGA-PBE level.

Cell: 7.530 9.192 9.192 Å, 80.34 65.82 65.82°
Fractional coordinates of all 24 atoms:
Cd 0.599 0.319 0.079
Cd 0.668 0.579 0.181
Cd 0.151 0.181 0.421
Cd 0.428 0.421 0.819
Cd 0.082 0.319 0.921
Cd 0.428 0.819 0.421
Cd 0.753 0.819 0.579
Cd 0.753 0.579 0.819
Cd 0.997 0.681 0.921
Cd 0.082 0.921 0.319
Cd 0.322 0.681 0.079
Cd 0.750 0.500 0.500
Cd 0.668 0.181 0.579
Cd 0.000 0.000 0.000
Cd 0.997 0.921 0.681
Cd 0.322 0.079 0.681
Cd 0.151 0.421 0.181
Cd 0.599 0.079 0.319
Dy 0.250 0.500 0.500
Dy 0.500 0.000 0.000
Ag 0.875 0.250 0.250
Ag 0.875 0.750 0.250
Ag 0.875 0.250 0.750
Ag 0.375 0.750 0.750

Results
Calculated formation energy: -93.4 meV/atom
M_tot: 0.00 μB per cell
Total DFT energy (no corrections): -39.32 eV/cell

***

Below is Dy2Cd3Ag3 after structural relaxation, with properties calculated at the GGA-PBE level.

Cell: 4.982 4.982 8.583 Å, 73.13 73.13 60.00°
Fractional coordinates of all 8 atoms:
Dy 0.497 0.497 0.508
Dy 0.003 0.003 0.992
Ag 0.373 0.373 0.882
Ag 0.876 0.876 0.373
Ag 0.127 0.127 0.620
Cd 0.751 0.751 0.747
Cd 0.249 0.249 0.253
Cd 0.625 0.625 0.126

Results
Calculated formation energy: -278.2 meV/atom
M_tot: 0.00 μB per cell
Total DFT energy (no corrections): -22.73 eV/cell

***

Below is DyCd2Ag8 after structural relaxation, with properties calculated at the GGA-PBE level.

Cell: 4.386 6.736 7.838 Å, 106.40 106.25 90.00°
Fractional coordinates of all 11 atoms:
Ag 0.046 0.724 0.092
Ag 0.593 0.468 0.185
Ag 0.863 0.808 0.725
Ag 0.315 0.088 0.629
Ag 0.137 0.192 0.275
Ag 0.954 0.276 0.908
Ag 0.685 0.912 0.371
Ag 0.407 0.532 0.815
Cd 0.772 0.355 0.544
Cd 0.228 0.645 0.456
Dy 0.500 0.000 0.000

Results
Calculated formation energy: -96.1 meV/atom
M_tot: 0.00 μB per cell
E above lowest polymorph: 0.000 eV/atom
Total DFT energy (no corrections): -30.30 eV/cell

***

Below is Dy2Cd12Ag after structural relaxation, with properties calculated at the GGA-PBE level.

Cell: 6.200 6.200 18.972 Å, 90.00 90.00 90.00°
Fractional coordinates of all 30 atoms:
Cd 0.750 0.750 0.906
Cd 0.000 0.000 0.194
Cd 0.500 0.500 0.337
Cd 0.669 0.169 0.432
Cd 0.169 0.669 0.568
Cd 0.169 0.331 0.432
Cd 0.250 0.750 0.094
Cd 0.000 0.000 0.337
Cd 0.250 0.250 0.906
Cd 0.669 0.831 0.568
Cd 0.750 0.750 0.094
Cd 0.500 0.500 0.663
Cd 0.500 0.500 0.194
Cd 0.831 0.669 0.432
Cd 0.331 0.169 0.568
Cd 0.331 0.831 0.432
Cd 0.000 0.000 0.806
Cd 0.831 0.331 0.568
Cd 0.750 0.250 0.906
Cd 0.250 0.750 0.906
Cd 0.750 0.250 0.094
Cd 0.000 0.000 0.663
Cd 0.250 0.250 0.094
Cd 0.500 0.500 0.806
Dy 0.500 0.000 0.253
Dy 0.000 0.500 0.253
Dy 0.000 0.500 0.747
Dy 0.500 0.000 0.747
Ag 0.500 0.000 0.000
Ag 0.000 0.500 0.000

Results
Calculated formation energy: -54.8 meV/atom
M_tot: 0.00 μB per cell
Total DFT energy (no corrections): -47.72 eV/cell

***

Below is DyCd3Ag2 after structural relaxation, with properties calculated at the GGA-PBE level.

Cell: 5.007 7.844 7.550 Å, 106.14 109.37 90.00°
Fractional coordinates of all 12 atoms:
Ag 0.245 0.614 0.490
Ag 0.755 0.386 0.510
Ag 0.516 0.185 0.032
Ag 0.484 0.815 0.968
Cd 0.915 0.233 0.830
Cd 0.611 0.564 0.221
Cd 0.085 0.767 0.170
Cd 0.389 0.436 0.779
Cd 0.311 0.004 0.622
Cd 0.689 0.996 0.378
Dy 0.137 0.218 0.273
Dy 0.863 0.782 0.727

Results
Calculated formation energy: -150.4 meV/atom
M_tot: 0.00 μB per cell
E above lowest polymorph: 0.010 eV/atom
Total DFT energy (no corrections): -27.91 eV/cell